CoCNO2 | PBE+U | optimized geometry

## Properties
Its density of states at the Fermi level is 2.72 states/eV/cell. For the total energy, the calculation gives -4.660 eV/atom. The space group is No. 123. The value obtained for the total magnetization is 0.37 μB per formula unit.

Lattice parameters (Å, degrees): 3.7945 3.7945 3.3711 90.00 90.00 90.00
Last column: magnetic moment on the atom in μB.
Sites, in units of the cell vectors:
C: 0.5000 0.5000 0.5000  0.01
Co: 0.0000 0.0000 0.0000  0.66
O: 0.0000 0.5000 0.0000  -0.07
O: 0.5000 0.0000 0.0000  -0.07
N: 0.0000 0.0000 0.5000  -0.12

***

CoCNO2 | PBE+U | optimized geometry

## Properties
Its density of states at the Fermi level is 3.34 states/eV/cell. For the total energy, the calculation gives -5.533 eV/atom. The space group is No. 123. The value obtained for the total magnetization is 4.00 μB per formula unit.

Lattice parameters (Å, degrees): 4.1444 4.1444 2.5161 90.00 90.00 90.00
Last column: magnetic moment on the atom in μB.
Sites, in units of the cell vectors:
C: 0.0000 0.0000 0.0000  -0.06
Co: 0.5000 0.5000 0.5000  2.65
O: 0.0000 0.5000 0.0000  0.54
O: 0.5000 0.0000 0.0000  0.54
N: 0.0000 0.0000 0.5000  0.17